1.
Sc2TaCl (PBE, relaxed); DOS(E_F) = 5.05 states/eV/f.u.; E above lowest polymorph = 0.5680 eV per atom; uncorrected formation energy = 65 meV per atom
1.0
5.660 0.005 -0.006
1.917 5.325 0.006
-2.782 -4.096 2.742
Cl Sc Ta
1 2 1
direct
0.750 0.250 0.500 Cl
0.975 0.975 0.000 Sc
0.525 0.525 0.000 Sc
0.250 0.750 0.500 Ta



2.
Li2ZnGaH (PBE, relaxed); DOS(E_F) = 0.86 states/eV/f.u.; E above lowest polymorph = 0.0000 eV per atom
1.0
3.994 0.000 0.000
0.000 3.994 0.000
0.000 0.000 3.776
Li H Ga Zn
2 1 1 1
direct
0.000 0.500 0.000 Li
0.500 0.000 0.000 Li
0.000 0.000 0.000 H
0.500 0.500 0.500 Ga
0.000 0.000 0.500 Zn



3.
OsPtO (PBE, relaxed); DOS(E_F) = 3.26 states/eV/f.u.; uncorrected formation energy = 75 meV per atom
1.0
-0.225 -2.452 -1.205
2.682 0.031 -0.564
-0.135 -1.388 5.965
Pt O Os
1 1 1
direct
0.836 0.835 0.672 Pt
0.659 0.659 0.318 O
0.505 0.506 0.010 Os



4.
ZnFe2PdPt5 (PBE, relaxed); DOS(E_F) = 7.72 states/eV/f.u.; formation enthalpy at 0 K = -183 meV/atom
1.0
2.753 0.000 0.000
-1.376 7.859 0.000
0.000 0.000 12.544
Pd Pt Fe Zn
2 10 4 2
direct
0.270 0.540 0.986 Pd
0.730 0.460 0.486 Pd
0.296 0.592 0.304 Pt
0.696 0.393 0.166 Pt
0.046 0.091 0.131 Pt
0.558 0.115 0.489 Pt
0.471 0.943 0.298 Pt
0.704 0.408 0.804 Pt
0.954 0.909 0.631 Pt
0.304 0.607 0.666 Pt
0.529 0.057 0.798 Pt
0.442 0.885 0.989 Pt
0.870 0.740 0.147 Fe
0.130 0.260 0.647 Fe
0.124 0.249 0.328 Fe
0.876 0.751 0.828 Fe
0.617 0.234 0.975 Zn
0.383 0.766 0.475 Zn



Taking the records one at a time from the top gives magnetic moment values of 0.63, 0.00, 0.00, 7.36 μB per formula unit.